# 1
La8Cu2Rh: relaxed, PBE.

Cell: 5.200 7.003 9.460 Å, 98.85 105.95 90.00°
Fractional positions:
La1 0.031 0.789 0.062
La2 0.969 0.211 0.938
La3 0.339 0.035 0.677
La4 0.589 0.441 0.177
La5 0.411 0.559 0.823
La6 0.661 0.965 0.323
La7 0.201 0.337 0.403
La8 0.799 0.663 0.597
Cu1 0.194 0.746 0.388
Cu2 0.806 0.254 0.612
Rh1 0.500 0.000 0.000

The calculation puts the total energy at -5.176 eV/atom. For the density of states at the Fermi level, the calculation gives 11.62 states/eV per cell. The space group is C2/m, No. 12.



# 2
LaCu2Rh: relaxed, PBE.

Cell: 3.990 3.990 4.474 Å, 90.00 90.00 90.00°
Fractional positions:
Rh1 0.000 0.500 0.500
La1 0.500 0.000 0.500
Cu1 0.500 0.500 0.000
Cu2 0.000 0.000 0.000

The calculation puts the total energy at -5.289 eV/atom. For the density of states at the Fermi level, the calculation gives 1.46 states/eV per cell. The space group is P4/mmm, No. 123.



# 3
La2CuRh2: relaxed, PBE.

Cell: 5.493 5.778 8.119 Å, 104.77 90.00 118.38°
Fractional positions:
La1 0.498 0.293 0.150
La2 0.796 0.293 0.650
La3 0.204 0.707 0.350
La4 0.502 0.707 0.850
Rh1 0.992 0.260 0.016
Rh2 0.732 0.740 0.484
Rh3 0.268 0.260 0.516
Rh4 0.008 0.740 0.984
Cu1 0.852 0.000 0.250
Cu2 0.148 0.000 0.750

The calculation puts the total energy at -6.321 eV/atom. For the density of states at the Fermi level, the calculation gives 5.42 states/eV per cell. The space group is C2/c, No. 15.



# 4
La3Cu2Rh: relaxed, PBE.

Cell: 4.238 11.990 12.141 Å, 90.00 90.00 90.00°
Fractional positions:
Cu1 0.250 0.499 0.807
Cu2 0.250 0.809 0.987
Cu3 0.250 0.691 0.487
Cu4 0.750 0.309 0.513
Cu5 0.750 0.501 0.193
Cu6 0.750 0.191 0.013
Cu7 0.750 0.999 0.693
Cu8 0.250 0.001 0.307
La1 0.750 0.628 0.950
La2 0.750 0.300 0.774
La3 0.250 0.372 0.050
La4 0.250 0.700 0.226
La5 0.250 0.057 0.881
La6 0.750 0.557 0.619
La7 0.250 0.128 0.550
La8 0.250 0.443 0.381
La9 0.750 0.872 0.450
La10 0.750 0.200 0.274
La11 0.250 0.800 0.726
La12 0.750 0.943 0.119
Rh1 0.250 0.130 0.125
Rh2 0.750 0.870 0.875
Rh3 0.750 0.630 0.375
Rh4 0.250 0.370 0.625

The calculation puts the total energy at -5.391 eV/atom. For the density of states at the Fermi level, the calculation gives 27.43 states/eV per cell. The space group is Pnma, No. 62.



# 5
LaCuRh2: relaxed, PBE.

Cell: 4.160 3.168 5.574 Å, 78.79 90.00 90.00°
Fractional positions:
Rh1 0.000 0.048 0.035
Rh2 0.000 0.452 0.465
La1 0.500 0.750 0.750
Cu1 0.500 0.250 0.250

The calculation puts the total energy at -6.080 eV/atom. For the density of states at the Fermi level, the calculation gives 1.86 states/eV per cell. The space group is P2/m, No. 10.



# 6
LaCu2SbRh: relaxed, PBE.

Cell: 4.991 5.981 4.991 Å, 90.00 90.00 90.00°
Site moments in Bohr magnetons follow the coordinates.
Fractional positions:
La1 0.000 0.000 0.000  0.03
Rh1 0.500 0.500 0.500  0.85
Cu1 0.500 0.000 0.000  0.01
Cu2 0.000 0.000 0.500  0.01
Sb1 0.000 0.500 0.000  0.01

For the uncorrected formation energy, the calculation gives 1.467 eV per atom. The calculation puts the total energy at -3.452 eV/atom. For the density of states at the Fermi level, the calculation gives 7.74 states/eV per cell. The space group is P4/mmm, No. 123.